1.
Entry from Alexandria via LeMat-Bulk: a geometry-optimized Mg2BeRe structure (PBE).

Results
Crystal system   orthorhombic
Raw total energy   -0.16148 hartree per atom

a = 2.9054 Å, b = 4.4624 Å, c = 4.5911 Å
α = 90.00°, β = 90.00°, γ = 90.00°
Closest atoms and distances in Å follow each position.
Space group Pmmm (No. 47)
One atom of each set of equivalent atoms:
Mg 0.0000 0.0000 0.0000 [1 per cell]  6 Mg 2.66-2.91, 4 Re 2.72
Mg 0.5000 0.5000 0.0000 [1 per cell]  6 Mg 2.66-2.91, 4 Be 2.72
Be 0.0000 0.5000 0.5000 [1 per cell]  4 Re 2.66, 4 Mg 2.72, 2 Be 2.91
Re 0.5000 0.0000 0.5000 [1 per cell]  4 Be 2.66, 4 Mg 2.72, 2 Re 2.91

---

2.
Entry from Alexandria via LeMat-Bulk: a geometry-optimized Mg2BeRe structure (PBE).

Results
Crystal system   monoclinic
Raw total energy   -0.16641 hartree per atom

a = 10.1992 Å, b = 2.8317 Å, c = 4.7200 Å
α = 90.00°, β = 114.52°, γ = 90.00°
Closest atoms and distances in Å follow each position.
Space group Cm (No. 8)
One atom of each set of equivalent atoms:
Mg 0.0000 0.0000 0.0000 [2 per cell]  4 Be 2.73-2.81, 5 Mg 2.83-3.04, 3 Re 2.87-2.92
Mg 0.2134 0.0000 0.6632 [2 per cell]  2 Be 2.71, 4 Re 2.79-2.81, 3 Mg 2.83-2.98
Be 0.4654 0.0000 0.4791 [2 per cell]  2 Re 2.35
Re 0.2685 0.5000 0.2106 [2 per cell]  2 Be 2.35

---

3.
Entry from Alexandria via LeMat-Bulk: a geometry-optimized Mg2BeRe structure (PBE).

Results
Crystal system   cubic
Raw total energy   -0.15946 hartree per atom

a = 6.1954 Å, b = 6.1954 Å, c = 6.1954 Å
α = 90.00°, β = 90.00°, γ = 90.00°
Closest atoms and distances in Å follow each position.
Space group F-43m (No. 216)
One atom of each set of equivalent atoms:
Mg 0.0000 0.0000 0.0000 [4 per cell]  4 Re 2.68, 4 Mg 2.68
Mg 0.2500 0.2500 0.2500 [4 per cell]  4 Be 2.68, 4 Mg 2.68
Be 0.0000 0.0000 0.5000 [4 per cell]  4 Re 2.68, 4 Mg 2.68
Re 0.2500 0.2500 0.7500 [4 per cell]  4 Mg 2.68, 4 Be 2.68

---

4.
Entry from Alexandria via LeMat-Bulk: a geometry-optimized MgBe2Re structure (PBE).

Results
Crystal system   tetragonal
Raw total energy   -0.18815 hartree per atom

a = 2.7525 Å, b = 2.7525 Å, c = 6.5732 Å
α = 90.00°, β = 90.00°, γ = 90.00°
Closest atoms and distances in Å follow each position.
Space group P4mm (No. 99)
One atom of each set of equivalent atoms:
Mg 0.0000 0.0000 0.0000 [1 per cell]  5 Be 2.71-2.87, 4 Mg 2.75, 4 Re 2.91
Be 0.0000 0.0000 0.5632 [1 per cell]  4 Be 2.18
Be 0.5000 0.5000 0.7128 [1 per cell]  4 Be 2.18
Re 0.5000 0.5000 0.3288 [1 per cell]  5 Be 2.48-2.52, 4 Re 2.75

---

5.
Entry from Alexandria via LeMat-Bulk: a geometry-optimized Mg2BeRe structure (PBE).

Results
Crystal system   orthorhombic
Raw total energy   -0.16305 hartree per atom

a = 3.3330 Å, b = 4.2407 Å, c = 8.7003 Å
α = 90.00°, β = 90.00°, γ = 90.00°
Closest atoms and distances in Å follow each position.
Space group Cmmm (No. 65)
One atom of each set of equivalent atoms:
Mg 0.0000 0.0000 0.2371 [4 per cell]  4 Be 2.65-2.96, 4 Mg 2.70, 2 Re 2.83
Be 0.0000 0.5000 0.0000 [2 per cell]  8 Mg 2.65-2.96, 4 Be 2.70
Re 0.0000 0.5000 0.5000 [2 per cell]  4 Re 2.70, 4 Mg 2.83

---

6.
Entry from Alexandria via LeMat-Bulk: a geometry-optimized Mg2BeRe structure (PBE).

Results
Crystal system   trigonal
Raw total energy   -0.16021 hartree per atom

a = 2.8213 Å, b = 2.8213 Å, c = 27.1837 Å
α = 90.00°, β = 90.00°, γ = 120.00°
Closest atoms and distances in Å follow each position.
Space group R-3m (No. 166, hexagonal axes)
One atom of each set of equivalent atoms:
Mg 0.0000 0.0000 0.2468 [6 per cell]  3 Be 2.72, 6 Mg 2.82, 3 Re 2.86
Be 0.0000 0.0000 0.5000 [3 per cell]  6 Mg 2.72, 6 Be 2.82
Re 0.0000 0.0000 0.0000 [3 per cell]  6 Re 2.82, 6 Mg 2.86

---

7.
Entry from Alexandria via LeMat-Bulk: a geometry-optimized Mg2BeRe structure (PBE).

Results
Crystal system   tetragonal
Raw total energy   -0.16907 hartree per atom

a = 3.0341 Å, b = 3.0341 Å, c = 7.0953 Å
α = 90.00°, β = 90.00°, γ = 90.00°
Closest atoms and distances in Å follow each position.
Space group P4mm (No. 99)
One atom of each set of equivalent atoms:
Mg 0.0000 0.0000 0.0000 [1 per cell]  1 Re 2.80, 4 Be 2.86, 4 Mg 3.03
Mg 0.5000 0.5000 0.3412 [1 per cell]  1 Be 2.79, 4 Re 2.85, 4 Mg 3.03
Be 0.5000 0.5000 0.7339 [1 per cell]  4 Re 2.33
Re 0.0000 0.0000 0.6051 [1 per cell]  4 Be 2.33

---

8.
Entry from Alexandria via LeMat-Bulk: a geometry-optimized Mg2BeRe structure (PBE).

Results
Crystal system   tetragonal
Raw total energy   -0.16295 hartree per atom

a = 3.6957 Å, b = 3.6957 Å, c = 8.5857 Å
α = 90.00°, β = 90.00°, γ = 90.00°
Closest atoms and distances in Å follow each position.
Space group I4/mmm (No. 139)
One atom of each set of equivalent atoms:
Mg 0.0000 0.5000 0.2500 [4 per cell]  4 Mg 2.61, 4 Re 2.83, 4 Be 2.83
Be 0.0000 0.0000 0.0000 [2 per cell]  4 Re 2.61, 8 Mg 2.83
Re 0.0000 0.0000 0.5000 [2 per cell]  4 Be 2.61, 8 Mg 2.83